[1]
A relaxed HfSc2Ga2 crystal, computed with PBE-GGA.

Lattice parameters (Å, degrees): 8.1242 8.1242 3.0141 90.00 90.00 90.00
With the nearest neighbours (Å) after each atom.
Space group P4/mbm (No. 127)
Asymmetric unit:
Hf 0.0000 0.0000 0.0000 (multiplicity 2)  2 Hf 3.01, 4 Sc 3.21, 8 Ga 3.36
Sc 0.1246 0.3754 0.0000 (multiplicity 4)  6 Ga 2.75-2.89, 3 Sc 2.86-3.01
Ga 0.1748 0.6748 0.5000 (multiplicity 4)  6 Sc 2.75-2.89, 2 Ga 3.01

The energy above the lowest structure with this stoichiometry is 219.7 meV per atom.



[2]
A relaxed CdPtSe crystal, computed with PBE-GGA.

Lattice parameters (Å, degrees): 6.4575 6.6448 6.6605 89.37 73.70 70.55
With the nearest neighbours (Å) after each atom.
Space group P1 (No. 1)
Asymmetric unit:
Cd 0.0000 0.0000 0.0000 (multiplicity 1)  4 Pt 2.83-2.95, 1 Se 2.88, 1 Cd 3.14
Cd 0.0323 0.8444 0.4485 (multiplicity 1)  3 Pt 2.77-2.86, 1 Se 2.79
Cd 0.5684 0.8024 0.9759 (multiplicity 1)  3 Pt 2.71-2.94, 2 Se 2.84-2.99
Cd 0.6448 0.2876 0.7839 (multiplicity 1)  4 Pt 2.74-2.96, 1 Se 2.92
Pt 0.1103 0.1829 0.6167 (multiplicity 1)  3 Se 2.48-2.64, 2 Cd 2.74-2.77
Pt 0.2477 0.5629 0.0848 (multiplicity 1)  3 Se 2.52-2.57, 1 Cd 2.79
Pt 0.3704 0.7022 0.6687 (multiplicity 1)  3 Se 2.52-2.54
Pt 0.5231 0.1554 0.2071 (multiplicity 1)  3 Se 2.53-2.55, 2 Cd 2.71-2.83
Se 0.0634 0.5337 0.8026 (multiplicity 1)  3 Pt 2.53-2.54
Se 0.0913 0.2840 0.2608 (multiplicity 1)  3 Pt 2.48-2.55
Se 0.5340 0.5203 0.2977 (multiplicity 1)  3 Pt 2.53-2.57
Se 0.5547 0.9782 0.5421 (multiplicity 1)  3 Pt 2.52-2.64, 1 Cd 2.79

The calculation puts the formation energy from raw total energies at -242 meV per atom. The energy above the lowest structure with this stoichiometry is 0.0 meV per atom.



[3]
A relaxed CeGdMgSn crystal, computed with PBE-GGA.

Lattice parameters (Å, degrees): 7.6104 7.6104 7.6104 90.00 90.00 90.00
With the nearest neighbours (Å) after each atom.
Space group F-43m (No. 216)
Asymmetric unit:
Ce 0.0000 0.0000 0.0000 (multiplicity 4)  4 Sn 3.30, 4 Mg 3.30
Gd 0.0000 0.0000 0.5000 (multiplicity 4)  4 Sn 3.30, 4 Mg 3.30
Mg 0.2500 0.2500 0.7500 (multiplicity 4)  4 Gd 3.30, 4 Ce 3.30
Sn 0.2500 0.2500 0.2500 (multiplicity 4)  4 Gd 3.30, 4 Ce 3.30

The calculated total energy is -6.757 eV/atom.



Fermi-level density of states list, top to bottom, in states/eV/atom: 0.800, 0.460, 2.615